Record 1
Density functional theory data (PBE-GGA) for crystalline PuNpCoCu at its relaxed geometry.

Cell and atoms, written as POSCAR:
```
PuNpCoCu
1.0
4.415 0.000 0.000
2.208 3.824 0.000
2.208 1.275 3.605
Np Co Cu Pu
1 1 1 1
Cartesian
6.623 3.824 2.704
4.415 2.549 1.803
2.208 1.275 0.901
0.000 0.000 0.000
```

DFT total energy	-9.574	eV per atom

---

Record 2
Density functional theory data (PBE-GGA) for crystalline NpCoCuSn at its relaxed geometry.

Cell and atoms, written as POSCAR:
```
NpCoCuSn
1.0
-3.876 0.237 2.537
-4.046 -1.362 -1.813
-2.026 -3.890 1.509
Np Co Sn Cu
1 1 1 1
Cartesian
-7.461 -3.761 1.675
0.000 0.000 0.000
-2.487 -1.254 0.558
-4.974 -2.508 1.117
```

DFT total energy	-6.986	eV per atom